Record 1
# Y3ZrBi4, relaxed, DFT PBE
data_Y3ZrBi4
_chemical_formula_sum 'Y6 Zr2 Bi8'
_space_group_name_H-M_alt 'P 1 2/c 1'
_space_group_IT_number 13
_cell_length_a 7.653
_cell_length_b 8.851
_cell_length_c 7.630
_cell_angle_alpha 90.00
_cell_angle_beta 109.53
_cell_angle_gamma 90.00
loop_
_space_group_symop_operation_xyz
'x,y,z'
'-x,-y,-z'
'-x,y,-z+1/2'
'x,-y,z+1/2'
loop_
_atom_site_label
_atom_site_type_symbol
_atom_site_fract_x
_atom_site_fract_y
_atom_site_fract_z
Y1 Y 0.000 0.125 0.250
Y2 Y 0.000 0.375 0.750
Y3 Y 0.500 0.125 0.750
Zr1 Zr 0.500 0.377 0.250
Bi1 Bi 0.255 0.130 0.005
Bi2 Bi 0.259 0.379 0.500
# N(E_F)   0.23 states/eV/atom
# Total magnetization   0.000 μB per formula unit
# Formation energy   -0.713 eV per atom

Record 2
# YZr3Bi, relaxed, DFT PBE
data_YZr3Bi
_chemical_formula_sum 'Y1 Zr3 Bi1'
_space_group_name_H-M_alt 'P m -3 m'
_space_group_IT_number 221
_space_group_name_Hall '-P 4 2 3'
_cell_length_a 5.444
_cell_length_b 5.444
_cell_length_c 5.444
_cell_angle_alpha 90.00
_cell_angle_beta 90.00
_cell_angle_gamma 90.00
loop_
_atom_site_label
_atom_site_type_symbol
_atom_site_fract_x
_atom_site_fract_y
_atom_site_fract_z
Y1 Y 0.000 0.000 0.000
Zr1 Zr 0.000 0.500 0.500
Bi1 Bi 0.500 0.500 0.500
# N(E_F)   1.27 states/eV/atom
# Total magnetization   0.000 μB per formula unit
# ΔE to the lowest computed polymorph   0.0000 eV per atom
# Formation energy   0.733 eV per atom

Record 3
# YZrBi2, relaxed, DFT PBE
data_YZrBi2
_chemical_formula_sum 'Y4 Zr4 Bi8'
_space_group_name_H-M_alt 'F m -3 m'
_space_group_IT_number 225
_space_group_name_Hall '-F 4 2 3'
_cell_length_a 7.564
_cell_length_b 7.564
_cell_length_c 7.564
_cell_angle_alpha 90.00
_cell_angle_beta 90.00
_cell_angle_gamma 90.00
loop_
_atom_site_label
_atom_site_type_symbol
_atom_site_fract_x
_atom_site_fract_y
_atom_site_fract_z
Y1 Y 0.000 0.000 0.000
Zr1 Zr 0.000 0.000 0.500
Bi1 Bi 0.250 0.250 0.250
# N(E_F)   1.07 states/eV/atom
# Total magnetization   1.244 μB per formula unit
# ΔE to the lowest computed polymorph   0.1522 eV per atom
# Formation energy   -0.379 eV per atom

Record 4
# YbBi3, relaxed, DFT PBE
data_YbBi3
_chemical_formula_sum 'Yb1 Bi3'
_space_group_name_H-M_alt 'P m -3 m'
_space_group_IT_number 221
_space_group_name_Hall '-P 4 2 3'
_cell_length_a 4.973
_cell_length_b 4.973
_cell_length_c 4.973
_cell_angle_alpha 90.00
_cell_angle_beta 90.00
_cell_angle_gamma 90.00
loop_
_atom_site_label
_atom_site_type_symbol
_atom_site_fract_x
_atom_site_fract_y
_atom_site_fract_z
Yb1 Yb 0.000 0.000 0.000
Bi1 Bi 0.000 0.500 0.500
# N(E_F)   0.52 states/eV/atom
# Total magnetization   0.000 μB per formula unit
# Formation energy   -0.391 eV per atom

Record 5
# Yb11Bi10, relaxed, DFT PBE
data_Yb11Bi10
_chemical_formula_sum 'Yb44 Bi40'
_space_group_name_H-M_alt 'I 4/m m m'
_space_group_IT_number 139
_space_group_name_Hall '-I 4 2'
_cell_length_a 12.183
_cell_length_b 12.183
_cell_length_c 17.839
_cell_angle_alpha 90.00
_cell_angle_beta 90.00
_cell_angle_gamma 90.00
loop_
_atom_site_label
_atom_site_type_symbol
_atom_site_fract_x
_atom_site_fract_y
_atom_site_fract_z
Yb1 Yb 0.000 0.000 0.156
Yb2 Yb 0.000 0.249 0.309
Yb3 Yb 0.000 0.337 0.102
Yb4 Yb 0.166 0.166 0.500
Bi1 Bi 0.000 0.000 0.378
Bi2 Bi 0.000 0.351 0.500
Bi3 Bi 0.000 0.500 0.250
Bi4 Bi 0.135 0.135 0.000
Bi5 Bi 0.206 0.206 0.173
# N(E_F)   8.13 states/eV/atom
# Total magnetization   2.148 μB per formula unit
# Formation energy   -0.786 eV per atom

Record 6
# ZnBi, relaxed, DFT PBE
data_ZnBi
_chemical_formula_sum 'Zn8 Bi8'
_space_group_name_H-M_alt 'P b c a'
_space_group_IT_number 61
_cell_length_a 6.523
_cell_length_b 8.125
_cell_length_c 8.474
_cell_angle_alpha 90.00
_cell_angle_beta 90.00
_cell_angle_gamma 90.00
loop_
_space_group_symop_operation_xyz
'x,y,z'
'-x,-y,-z'
'-x+1/2,-y,z+1/2'
'x+1/2,y,-z+1/2'
'x+1/2,-y+1/2,-z'
'-x+1/2,y+1/2,z'
'-x,y+1/2,-z+1/2'
'x,-y+1/2,z+1/2'
loop_
_atom_site_label
_atom_site_type_symbol
_atom_site_fract_x
_atom_site_fract_y
_atom_site_fract_z
Zn1 Zn 0.042 0.102 0.122
Bi1 Bi 0.142 0.589 0.886
# N(E_F)   0.07 states/eV/atom
# Total magnetization   0.000 μB per formula unit
# Formation energy   0.107 eV per atom